VASP calculation (PBE) on a geometry-optimized Ba2TaP structure.

Geometry as extended XYZ:
```
8
Lattice="-8.9254 6.1557 5.1949 -3.0628 -9.7651 6.3090 -4.5065 -1.1337 7.5127" Properties=species:S:1:pos:R:3 pbc="T T T"
Ba -8.3981 -3.8702 11.0251
Ba -5.5648 1.2928 5.0271
Ba -5.6796 -4.5667 7.3571
Ba -13.3469 -2.3422 14.6238
Ta -9.7130 1.6087 9.2298
Ta 0.0000 0.0000 0.0000
P -6.7817 -6.3518 9.7868
P -5.9941 -1.8047 5.7519
```

Values from the calculation:
The calculation puts the magnetic moment at 0.693 μB/atom. Its space group is I-42d, No. 122. For the calculated formation energy, the calculation gives 0.7 eV/f.u.

=====

VASP calculation (PBE) on a geometry-optimized Ac2MnSb4Pt3 structure.

Geometry as extended XYZ:
```
10
Lattice="-1.7937 3.9190 1.9416 -1.1868 -2.4559 3.8608 9.6099 2.2315 4.3735" Properties=species:S:1:pos:R:3 pbc="T T T"
Pt 4.8049 1.1158 2.1867
Pt 0.5997 -0.9509 2.4734
Pt 7.5200 3.9140 4.8013
Mn 3.3147 1.8473 5.0879
Ac 1.5367 2.5246 2.0783
Ac 6.5830 0.4385 5.1964
Sb 5.1385 3.3610 3.7175
Sb 2.9812 -0.3979 3.5572
Sb 0.0000 0.0000 0.0000
Sb -1.4902 0.7316 2.9012
```

Values from the calculation:
As for the formation energy (no corrections): -0.7833 eV/atom. The calculation puts the magnetic moment at 0.387 μB/atom. Its space group is P-4m2, No. 115.

=====

VASP calculation (PBE) on a geometry-optimized AcLaSmDy3 structure.

Geometry as extended XYZ:
```
12
Lattice="-1.3205 -5.1383 -2.2035 8.2859 -1.7152 6.5224 -4.5569 -1.1805 5.4838" Properties=species:S:1:pos:R:3 pbc="T T T"
Dy 6.0880 -4.4186 6.6552
Dy -0.7749 -2.3169 5.8672
Dy -3.6795 -3.6154 3.1475
Dy 3.1835 -5.7171 3.9355
Dy 0.2147 -5.8562 6.0391
Dy 2.1938 -2.1778 3.7636
Sm 2.9497 -3.6149 6.6620
Sm -0.5412 -4.4191 3.1408
Ac 1.4134 -3.8604 0.6667
Ac 0.9951 -4.1736 9.1360
La -0.4259 -0.7952 2.1096
La 2.8344 -7.2388 7.6931
```

Values from the calculation:
The calculation puts the magnetic moment at 0.000 μB/atom. Its space group is C2/m, No. 12. For the calculated formation energy, the calculation gives 1.3 eV/f.u.

=====

VASP calculation (PBE) on a geometry-optimized UTe2Cl structure.

Geometry as extended XYZ:
```
8
Lattice="-3.6429 -0.7441 -1.4961 1.4508 -5.4812 4.8216 -3.7931 4.9535 6.7725" Properties=species:S:1:pos:R:3 pbc="T T T"
Cl -1.2615 -3.3171 4.8496
Cl -4.7237 2.0453 5.2484
Te -4.2487 -1.6975 5.9518
Te -5.6424 0.1226 8.4403
Te -1.7365 0.4257 4.1462
Te -0.3428 -1.3944 1.6578
U -3.0207 0.9044 7.0366
U -2.9645 -2.1762 3.0614
```

Values from the calculation:
As for the formation energy (no corrections): -0.8608 eV/atom. The calculation puts the magnetic moment at 0.287 μB/atom. Its space group is P2_1/m, No. 11.

=====

VASP calculation (PBE) on a geometry-optimized TaP4S5Cl5 structure.

Geometry as extended XYZ:
```
30
Lattice="-3.5866 -5.3865 -3.1303 7.6206 2.5471 -7.1436 8.0436 -5.7349 9.4621" Properties=species:S:1:pos:R:3 pbc="T T T"
P 6.4092 -3.5512 2.8056
P 9.3470 -1.6826 -1.5319
P 8.6390 -3.2241 3.0761
P 5.6684 -5.0232 -3.6174
P 7.2035 -4.0703 5.9432
P 3.4386 -5.3503 -3.8879
P 2.7306 -6.8918 0.7200
P 4.8742 -4.5041 -6.7551
S 6.0932 -3.7117 -5.1556
S 1.9659 -5.0117 -2.5774
S 4.7498 -6.5394 0.0088
S 2.9698 -4.5499 -5.7733
S 10.1118 -3.5627 1.7656
S 2.9004 -7.4516 2.7703
S 9.1773 -1.1228 -3.5821
S 9.1078 -4.0245 4.9615
S 5.9844 -4.8627 4.3437
S 7.3278 -2.0350 -0.8206
Cl 3.4185 -3.2432 0.0462
Cl 11.6357 -6.5789 2.5619
Cl 10.3744 -8.1600 -0.1526
Cl 8.6591 -5.3312 -0.8580
Cl 1.7032 -0.4144 -0.6593
Cl 3.7336 -2.0291 -2.9941
Cl 11.9149 -5.0206 -0.3611
Cl 0.1627 -3.5538 -0.4507
Cl 0.4419 -1.9955 -3.3737
Cl 8.3440 -6.5453 2.1822
Ta 10.1800 -6.0875 0.8021
Ta 1.8976 -2.4869 -1.6140
```

Values from the calculation:
As for the formation energy (no corrections): -0.6439 eV/atom. The calculation puts the magnetic moment at 0.000 μB/atom. Its space group is P-1, No. 2. The calculation puts the energy above the most stable polymorph in this dataset at 0 meV per atom.

=====

VASP calculation (PBE) on a geometry-optimized LiDyNp2S4 structure.

Geometry as extended XYZ:
```
8
Lattice="-2.0703 -0.2958 -3.2960 -4.1750 -4.3435 3.0123 -2.2599 6.2808 0.8559" Properties=species:S:1:pos:R:3 pbc="T T T"
Np -3.2175 0.9686 1.9341
Np -2.1651 2.9925 -1.2200
S -5.8560 1.3462 1.2461
S -2.6492 0.2952 -0.6739
S -3.6599 -1.7034 2.4518
S -2.7750 3.6407 1.4164
Dy 0.0000 0.0000 0.0000
Li -3.1227 -2.3196 -0.1419
```

Values from the calculation:
As for the formation energy (no corrections): -1.5425 eV/atom. The calculation puts the magnetic moment at 1.075 μB/atom. Its space group is P2/m, No. 10.

=====

VASP calculation (PBE) on a geometry-optimized FeIr6Rh3 structure.

Geometry as extended XYZ:
```
10
Lattice="-4.8310 -1.1403 -0.8066 3.5419 -3.5272 -0.5506 -0.6935 -1.7256 6.5930" Properties=species:S:1:pos:R:3 pbc="T T T"
Ir -1.3357 -4.1992 4.5332
Ir -3.0287 -1.0100 0.7620
Ir 1.9935 -2.4417 0.9155
Ir -0.6469 -2.1940 0.7026
Ir -2.4958 -1.8559 5.0245
Ir 0.8550 -2.8111 5.1269
Rh 0.4042 -3.5944 2.6606
Rh -2.3868 -2.7988 2.5752
Rh -0.3468 -0.8628 3.2965
Fe 0.0000 0.0000 0.0000
```

Values from the calculation:
The calculation puts the magnetic moment at 0.223 μB/atom. Its space group is P-31m, No. 162. The calculation puts the energy above the most stable polymorph in this dataset at 326 meV per atom. For the calculated formation energy, the calculation gives 3.0 eV/f.u.

=====

VASP calculation (PBE) on a geometry-optimized Nd4Hg2Ir structure.

Geometry as extended XYZ:
```
7
Lattice="-3.4841 -2.2225 -2.2105 1.3402 -5.8682 -1.1805 -4.0142 -4.2997 5.6816" Properties=species:S:1:pos:R:3 pbc="T T T"
Nd -1.0350 -2.6421 -0.6806
Nd -3.5701 -8.2431 -0.9899
Nd -5.1231 -9.7484 2.9712
Nd -2.5880 -4.1474 3.2806
Ir 0.0000 0.0000 0.0000
Hg -3.0909 -7.2894 2.2642
Hg -3.0671 -5.1010 0.0265
```

Values from the calculation:
The calculation puts the magnetic moment at 0.000 μB/atom. Its space group is C2/m, No. 12. The calculation puts the energy above the most stable polymorph in this dataset at 0 meV per atom. For the calculated formation energy, the calculation gives -3.3 eV/f.u.

=====

VASP calculation (PBE) on a geometry-optimized Na2AcMnN4 structure.

Geometry as extended XYZ:
```
8
Lattice="6.0319 0.0001 0.0001 3.0160 4.4253 -0.4227 3.0160 0.0700 4.4449" Properties=species:S:1:pos:R:3 pbc="T T T"
N 2.0424 2.2022 0.6016
N 3.9897 0.8418 2.1221
N 10.0216 3.6537 1.9003
N 8.0743 2.2932 3.4208
Ac 3.0160 4.4253 -0.4227
Mn 3.0160 2.2477 2.0111
Na 6.0320 1.1590 3.2279
Na 6.0320 3.3365 0.7944
```

Values from the calculation:
As for the formation energy (no corrections): -0.3756 eV/atom. The calculation puts the magnetic moment at 0.000 μB/atom. Its space group is I-42m, No. 121.

=====

VASP calculation (PBE) on a geometry-optimized PmMn2Br8 structure.

Geometry as extended XYZ:
```
11
Lattice="-1.9608 -2.7577 5.9310 -2.4131 -7.3128 -2.7759 7.0752 -3.5285 2.1206" Properties=species:S:1:pos:R:3 pbc="T T T"
Br -0.3598 -4.2466 3.9793
Br 1.5392 -5.0345 0.9084
Br -2.8315 -7.6590 2.7654
Br 3.4251 -5.1635 5.9942
Br 1.1621 -8.5646 4.3674
Br 3.0611 -9.3525 1.2965
Br 5.5328 -5.9401 2.5103
Br -0.7238 -8.4355 -0.7184
Mn 2.3676 -10.3683 3.4255
Mn 0.3337 -3.2308 1.8503
Pm 0.0000 0.0000 0.0000
```

Values from the calculation:
As for the formation energy (no corrections): -1.0636 eV/atom. The calculation puts the magnetic moment at 0.818 μB/atom. Its space group is C2/m, No. 12. The calculation puts the energy above the most stable polymorph in this dataset at 0 meV per atom.

=====

VASP calculation (PBE) on a geometry-optimized LiAu5 structure.

Geometry as extended XYZ:
```
6
Lattice="-4.6821 -2.6129 3.8892 3.1283 -0.5099 -5.8162 2.8132 -2.4669 1.7294" Properties=species:S:1:pos:R:3 pbc="T T T"
Au 0.7634 -1.1466 -2.8774
Au -1.8616 -1.8534 0.3845
Au -1.7069 -3.4240 2.8047
Au 0.7968 -2.7499 -0.3063
Au -4.4865 -2.5602 3.6462
Li 3.4501 -2.0354 -3.6034
```

Values from the calculation:
The calculation puts the magnetic moment at 0.000 μB/atom. Its space group is Cmmm, No. 65. The calculation puts the energy above the most stable polymorph in this dataset at 0 meV per atom. For the calculated formation energy, the calculation gives -1.4 eV/f.u.

=====

VASP calculation (PBE) on a geometry-optimized Be2InHg structure.

Geometry as extended XYZ:
```
4
Lattice="1.5461 -4.2281 -0.4757 -2.5624 -3.1322 -2.0291 1.1377 -1.5462 -4.0999" Properties=species:S:1:pos:R:3 pbc="T T T"
In 0.0000 0.0000 0.0000
Be 0.0911 -6.6799 -4.9535
Be 0.0304 -2.2266 -1.6512
Hg 0.0607 -4.4533 -3.3023
```

Values from the calculation:
The calculation puts the magnetic moment at 0.000 μB/atom. Its space group is Fm-3m, No. 225. The calculation puts the energy above the most stable polymorph in this dataset at 283 meV per atom. For the calculated formation energy, the calculation gives 2.7 eV/f.u.